# 1
The following is a DFT calculation (GGA-PBE) of an optimized crystal structure of SmY5Sb6.

Summary:
Formation energy from raw total energies   -1.167 eV/atom

Cell: 7.6309 13.2163 7.6281 Å, 90.00 109.48 90.00°
Last column: nearest neighbours and their distance in Å.
Space group C2/m (No. 12)
One atom of each set of equivalent atoms:
Sm 0.0000 0.0000 0.0000 [2 per cell]  6 Sb 3.14
Y 0.0000 0.1653 0.5000 [4 per cell]  6 Sb 3.10-3.12
Y 0.0000 0.3328 0.0000 [4 per cell]  6 Sb 3.11
Y 0.0000 0.5000 0.5000 [2 per cell]  6 Sb 3.09-3.11
Sb 0.2472 0.5000 0.2507 [4 per cell]  5 Y 3.09-3.11, 1 Sm 3.14
Sb 0.2477 0.3319 0.7478 [8 per cell]  5 Y 3.10-3.12, 1 Sm 3.14

# 2
The following is a DFT calculation (GGA-PBE) of an optimized crystal structure of Na2YFe.

Summary:
Calculated formation energy   1.035 eV per atom

Cell: 7.1012 7.1012 7.1012 Å, 90.00 90.00 90.00°
Last column: nearest neighbours and their distance in Å.
Space group Fm-3m (No. 225)
One atom of each set of equivalent atoms:
Na 0.2500 0.2500 0.2500 [8 per cell]  4 Fe 3.07, 4 Y 3.07
Y 0.0000 0.0000 0.0000 [4 per cell]  8 Na 3.07
Fe 0.0000 0.0000 0.5000 [4 per cell]  8 Na 3.07

# 3
The following is a DFT calculation (GGA-PBE) of an optimized crystal structure of NbSb3Ir.

Summary:
Formation energy from raw total energies   0.989 eV/atom

Cell: 5.1203 5.1203 5.1203 Å, 90.00 90.00 90.00°
Last column: nearest neighbours and their distance in Å.
Space group Pm-3m (No. 221)
One atom of each set of equivalent atoms:
Nb 0.0000 0.0000 0.0000 [1 per cell]  12 Sb 3.62
Sb 0.0000 0.5000 0.5000 [3 per cell]  2 Ir 2.56
Ir 0.5000 0.5000 0.5000 [1 per cell]  6 Sb 2.56

# 4
The following is a DFT calculation (GGA-PBE) of an optimized crystal structure of Pm8Er2Th.

Summary:
Calculated formation energy   0.190 eV per atom

Cell: 19.3975 6.9567 5.6695 Å, 90.00 93.96 90.00°
Last column: nearest neighbours and their distance in Å.
Space group C2/m (No. 12)
One atom of each set of equivalent atoms:
Pm 0.0455 0.0000 0.2345 [4 per cell]  1 Pm 3.09, 1 Er 3.32
Pm 0.1311 0.2360 0.7274 [8 per cell]  5 Pm 3.28-3.67, 2 Er 3.47-3.64, 1 Th 3.57
Pm 0.1852 0.5000 0.2256 [4 per cell]  4 Er 3.40-3.53, 4 Pm 3.47-3.60, 1 Th 3.73
Er 0.2169 0.0000 0.2540 [4 per cell]  11 Pm 3.32-3.70
Th 0.0000 0.5000 0.0000 [2 per cell]  10 Pm 3.57-3.81

# 5
The following is a DFT calculation (GGA-PBE) of an optimized crystal structure of GdAl2Si.

Summary:
Formation energy from raw total energies   -0.378 eV/atom

Cell: 4.1723 4.1723 4.3482 Å, 90.00 90.00 90.00°
Last column: nearest neighbours and their distance in Å.
Space group P4/mmm (No. 123)
One atom of each set of equivalent atoms:
Gd 0.0000 0.0000 0.0000 [1 per cell]  4 Si 2.95, 8 Al 3.01
Al 0.0000 0.5000 0.5000 [2 per cell]  4 Al 2.95, 4 Si 3.01, 4 Gd 3.01
Si 0.5000 0.5000 0.0000 [1 per cell]  4 Gd 2.95, 8 Al 3.01

# 6
The following is a DFT calculation (GGA-PBE) of an optimized crystal structure of Mg2ZnPb.

Summary:
Calculated formation energy   -0.023 eV per atom

Cell: 4.3196 5.1425 9.1568 Å, 90.47 103.09 114.33°
Last column: nearest neighbours and their distance in Å.
Space group P-1 (No. 2)
One atom of each set of equivalent atoms:
Mg 0.0000 0.0000 0.0000 [1 per cell]  6 Pb 3.11-3.16, 4 Mg 3.38-3.43
Mg 0.2328 0.7500 0.7201 [2 per cell]  4 Zn 2.91-3.09, 3 Pb 2.99-3.11, 2 Mg 3.05-3.07
Mg 0.5000 0.5000 0.5000 [1 per cell]  6 Zn 2.88-3.01, 4 Mg 3.05-3.07
Zn 0.1524 0.8897 0.4109 [2 per cell]  2 Zn 2.80-2.81, 7 Mg 2.88-3.09
Pb 0.3903 0.6315 0.1505 [2 per cell]  7 Mg 2.99-3.25, 2 Zn 3.27-3.33

# 7
The following is a DFT calculation (GGA-PBE) of an optimized crystal structure of Tl2VInSb.

Summary:
Formation energy from raw total energies   1.085 eV/atom

Cell: 5.5048 5.5048 5.6521 Å, 90.00 90.00 90.00°
Last column: nearest neighbours and their distance in Å.
Space group P4/mmm (No. 123)
One atom of each set of equivalent atoms:
Tl 0.0000 0.5000 0.0000 [2 per cell]  2 In 2.75
V 0.0000 0.0000 0.5000 [1 per cell]  2 In 2.83
In 0.0000 0.0000 0.0000 [1 per cell]  4 Tl 2.75, 2 V 2.83
Sb 0.5000 0.5000 0.5000 [1 per cell]  4 V 3.89, 8 Tl 3.94

# 8
The following is a DFT calculation (GGA-PBE) of an optimized crystal structure of LiNpAl2Pt4.

Summary:
Calculated formation energy   -0.833 eV per atom

Cell: 4.2441 4.2441 25.3366 Å, 90.00 90.00 120.00°
Last column: nearest neighbours and their distance in Å.
Space group R-3m (No. 166, hexagonal axes)
One atom of each set of equivalent atoms:
Li 0.0000 0.0000 0.0000 [3 per cell]  8 Pt 2.55-2.60
Np 0.0000 0.0000 0.5000 [3 per cell]  6 Pt 2.97
Al 0.0000 0.0000 0.2641 [6 per cell]  7 Pt 2.58-2.64
Pt 0.0000 0.0000 0.1006 [6 per cell]  1 Li 2.55, 3 Al 2.58
Pt 0.0000 0.0000 0.3681 [6 per cell]  4 Al 2.60-2.64, 3 Li 2.60